Here is a geometry-optimized Zn4AgPb2 structure from the Alexandria database. Energies are from GGA-PBE.

Electronic total energy (eV per atom): -1.8637
M_tot (μB per formula unit): 0.0
SG: I4/mmm, No. 139
Formation enthalpy at 0 K (eV/atom): 0.3311

Unit cell a=4.957 b=4.957 c=8.022 alpha=72.00 beta=72.00 gamma=90.00
Fractional coordinates of all 7 atoms:
Pb 0.629 0.629 0.742
Pb 0.371 0.371 0.258
Zn 0.822 0.822 0.355
Zn 0.178 0.178 0.645
Zn 0.000 0.500 0.000
Zn 0.500 0.000 0.000
Ag 0.000 0.000 0.000